(1)
{
  "formula": "Cs2KRbHg",
  "functional": "GGA-PBE",
  "state": "relaxed",
  "delta_e_f_kcal_per_mol_atoms": -1.7,
  "relative_energy_mev_per_atom": 8.4,
  "space_group": "No. 123",
  "lattice_angstrom": [[7.504, 0.000, 0.000], [0.000, 7.504, 0.000], [0.000, 0.000, 7.266]],
  "species": ["Cs", "Cs", "K", "Hg", "Rb"],
  "fractional_positions": [[0.000, 0.500, 0.000], [0.500, 0.000, 0.000], [0.500, 0.500, 0.500], [0.000, 0.000, 0.000], [0.000, 0.000, 0.500]]
}

(2)
{
  "formula": "CdNiMo2",
  "functional": "GGA-PBE",
  "state": "relaxed",
  "delta_e_f_kcal_per_mol_atoms": 8.6,
  "space_group": "No. 166",
  "lattice_angstrom": [[9.580, -0.007, -0.004], [9.181, 2.736, -0.004], [9.181, 1.336, 2.388]],
  "species": ["Cd", "Mo", "Mo", "Ni"],
  "fractional_positions": [[0.750, 0.750, 0.750], [0.991, 0.991, 0.991], [0.509, 0.509, 0.509], [0.250, 0.250, 0.250]]
}

(3)
{
  "formula": "Sr2CaFe",
  "functional": "GGA-PBE",
  "state": "relaxed",
  "delta_e_f_kcal_per_mol_atoms": 18.4,
  "relative_energy_mev_per_atom": 408.5,
  "space_group": "No. 225",
  "lattice_angstrom": [[0.000, 4.013, 4.013], [4.013, 0.000, 4.013], [4.013, 4.013, 0.000]],
  "species": ["Sr", "Sr", "Ca", "Fe"],
  "fractional_positions": [[0.250, 0.250, 0.250], [0.750, 0.750, 0.750], [0.000, 0.000, 0.000], [0.500, 0.500, 0.500]]
}

(4)
{
  "formula": "YFe2Co2",
  "functional": "GGA-PBE",
  "state": "relaxed",
  "delta_e_f_kcal_per_mol_atoms": 3.1,
  "relative_energy_mev_per_atom": 214.6,
  "space_group": "No. 127",
  "lattice_angstrom": [[7.118, 0.000, 0.000], [0.000, 7.118, 0.000], [0.000, 0.000, 2.835]],
  "species": ["Y", "Y", "Co", "Co", "Co", "Co", "Fe", "Fe", "Fe", "Fe"],
  "fractional_positions": [[0.000, 0.000, 0.000], [0.500, 0.500, 0.000], [0.364, 0.864, 0.000], [0.864, 0.636, 0.000], [0.636, 0.136, 0.000], [0.136, 0.364, 0.000], [0.147, 0.647, 0.500], [0.647, 0.853, 0.500], [0.853, 0.353, 0.500], [0.353, 0.147, 0.500]]
}

(5)
{
  "formula": "PmGaRuRh",
  "functional": "GGA-PBE",
  "state": "relaxed",
  "delta_e_f_kcal_per_mol_atoms": -9.2,
  "space_group": "No. 216",
  "lattice_angstrom": [[-3.148, 0.974, 3.243], [-2.826, -3.316, 1.548], [0.509, -1.656, 4.287]],
  "species": ["Ru", "Rh", "Ga", "Pm"],
  "fractional_positions": [[0.250, 0.250, 0.250], [0.750, 0.750, 0.750], [0.500, 0.500, 0.500], [0.000, 0.000, 0.000]]
}

(6)
{
  "formula": "ZnCrAsBr2",
  "functional": "GGA-PBE",
  "state": "relaxed",
  "formation_energy_uncorrected_kj_per_mol_fu": 213.2,
  "relative_energy_mev_per_atom": 310.7,
  "space_group": "No. 123",
  "lattice_angstrom": [[5.237, 0.000, 0.000], [0.000, 5.237, 0.000], [0.000, 0.000, 4.914]],
  "species": ["Cr", "As", "Zn", "Br", "Br"],
  "fractional_positions": [[0.500, 0.500, 0.500], [0.000, 0.000, 0.500], [0.000, 0.000, 0.000], [0.000, 0.500, 0.000], [0.500, 0.000, 0.000]]
}

Number 1: mass density 2.4 g/cm3. Number 2: mass density 9.6 g/cm3. Number 3: mass density 3.5 g/cm3. Number 4: mass density 7.4 g/cm3. Number 5: mass density 9.9 g/cm3. Number 6: mass density 4.3 g/cm3.